# Zr4Bi2AsN

A relaxed Zr4Bi2AsN crystal (PBE, OQMD).

a b c (Å): 3.6905 3.6905 14.0632
angles (deg): 90.00 90.00 120.00
With the nearest neighbours (Å) after each atom.
Space group P-3m1 (No. 164)
One atom of each set of equivalent atoms:
Zr 0.3333 0.6667 0.1110 [2 per cell]  3 As 2.64
Zr 0.3333 0.6667 0.4231 [2 per cell]  3 N 2.39
Bi 0.3333 0.6667 0.7352 [2 per cell]  6 Zr 3.04-3.08
As 0.0000 0.0000 0.0000 [1 per cell]  6 Zr 2.64
N 0.0000 0.0000 0.5000 [1 per cell]  6 Zr 2.39

Output
The value obtained for the mass density is 8727 kg/m3. The total energy comes out at -61.66 eV per cell. The crystal system is trigonal.



# LiTaNb

A relaxed LiTaNb crystal (PBE, OQMD).

a b c (Å): 5.9038 5.9038 5.9038
angles (deg): 90.00 90.00 90.00
With the nearest neighbours (Å) after each atom.
Space group F-43m (No. 216)
One atom of each set of equivalent atoms:
Li 0.0000 0.0000 0.0000 [4 per cell]  4 Ta 2.56, 4 Nb 2.56
Ta 0.2500 0.2500 0.2500 [4 per cell]  4 Li 2.56
Nb 0.2500 0.2500 0.7500 [4 per cell]  4 Li 2.56

Output
The value obtained for the mass density is 9064 kg/m3. The total energy comes out at -83.24 eV per cell. The polymorph energy (0 for the lowest one) is 0.0 meV per atom. The crystal system is cubic.



# PuThW

A relaxed PuThW crystal (PBE, OQMD).

a b c (Å): 6.7876 6.7876 6.7876
angles (deg): 90.00 90.00 90.00
With the nearest neighbours (Å) after each atom.
Space group F-43m (No. 216)
One atom of each set of equivalent atoms:
Pu 0.0000 0.0000 0.0000 [4 per cell]  4 W 2.94
Th 0.0000 0.0000 0.5000 [4 per cell]  4 W 2.94
W 0.2500 0.2500 0.7500 [4 per cell]  4 Th 2.94, 4 Pu 2.94

Output
The value obtained for the mass density is 14016 kg/m3. The value obtained for the energy of formation from the pure elements is 0.618 eV/atom. The total energy comes out at -130.59 eV per cell. The polymorph energy (0 for the lowest one) is 0.0 meV per atom. The crystal system is cubic.



# MgCdGa2

A relaxed MgCdGa2 crystal (PBE, OQMD).

a b c (Å): 6.8624 6.8624 6.8624
angles (deg): 90.00 90.00 90.00
With the nearest neighbours (Å) after each atom.
Space group F-43m (No. 216)
One atom of each set of equivalent atoms:
Mg 0.0000 0.0000 0.0000 [4 per cell]  4 Cd 2.97, 4 Ga 2.97
Cd 0.2500 0.2500 0.2500 [4 per cell]  4 Mg 2.97, 4 Ga 2.97
Ga 0.0000 0.0000 0.5000 [4 per cell]  4 Cd 2.97, 4 Ga 2.97
Ga 0.2500 0.2500 0.7500 [4 per cell]  4 Mg 2.97, 4 Ga 2.97

Output
The value obtained for the mass density is 5676 kg/m3. The total energy comes out at -34.00 eV per cell. The crystal system is cubic.



# BaNdMg

A relaxed BaNdMg crystal (PBE, OQMD).

a b c (Å): 8.1461 8.1461 8.1461
angles (deg): 90.00 90.00 90.00
With the nearest neighbours (Å) after each atom.
Space group F-43m (No. 216)
One atom of each set of equivalent atoms:
Ba 0.0000 0.0000 0.0000 [4 per cell]  4 Mg 3.53
Nd 0.0000 0.0000 0.5000 [4 per cell]  4 Mg 3.53
Mg 0.2500 0.2500 0.2500 [4 per cell]  4 Ba 3.53, 4 Nd 3.53

Output
The value obtained for the mass density is 3758 kg/m3. The total energy comes out at -28.14 eV per cell. The polymorph energy (0 for the lowest one) is 0.0 meV per atom. The crystal system is cubic.



# TaTlCoRe

A relaxed TaTlCoRe crystal (PBE, OQMD).

a b c (Å): 6.3851 6.3851 6.3851
angles (deg): 90.00 90.00 90.00
With the nearest neighbours (Å) after each atom.
Space group F-43m (No. 216)
One atom of each set of equivalent atoms:
Ta 0.0000 0.0000 0.0000 [4 per cell]  4 Co 2.76, 4 Re 2.76
Tl 0.0000 0.0000 0.5000 [4 per cell]  4 Re 2.76, 4 Co 2.76
Co 0.2500 0.2500 0.7500 [4 per cell]  4 Ta 2.76, 4 Tl 2.76
Re 0.2500 0.2500 0.2500 [4 per cell]  4 Ta 2.76, 4 Tl 2.76

Output
The value obtained for the mass density is 16087 kg/m3. The total energy comes out at -128.19 eV per cell. The polymorph energy (0 for the lowest one) is 0.0 meV per atom. The crystal system is cubic.